1.
Crystalline LiPuAg at its relaxed geometry, computed with PBE-GGA.

Computed properties:
As for the energy above the lowest structure with this stoichiometry: 0.00 eV/f.u.

a = 3.167 Å, b = 3.167 Å, c = 12.437 Å
α = 90.00°, β = 90.00°, γ = 90.00°
Space group I4mm (No. 107)
One atom of each set of equivalent atoms:
Li (0.000, 0.000, 0.000) x2
Pu (0.000, 0.000, 0.698) x2
Ag (0.000, 0.000, 0.383) x2



2.
Crystalline LiYGa4Ag2 at its relaxed geometry, computed with PBE-GGA.

Computed properties:
The calculation puts the total energy at -85.2 eV/cell.

a = 4.4926 Å, b = 4.4926 Å, c = 25.2033 Å
α = 90.00°, β = 90.00°, γ = 120.00°
Space group R-3m (No. 166, hexagonal axes)
One atom of each set of equivalent atoms:
Li (0.0000, 0.0000, 0.0000) x3
Y (0.0000, 0.0000, 0.5000) x3
Ga (0.0000, 0.0000, 0.1084) x6
Ga (0.0000, 0.0000, 0.3739) x6
Ag (0.0000, 0.0000, 0.2611) x6



So what do the calculations give for size of the total moment? Going down the list: 12.31; 0.00 μB/cell.